Entry from Alexandria: a geometry-optimized HoScBe2Si2 structure (GGA-PBE).

POSCAR file:
```
HoScBe2Si2
1.0
3.809 0.000 0.000
-1.905 3.299 0.000
0.000 0.000 7.699
Ho Sc Be Si
1 1 2 2
Direct
0.000 0.000 0.000
0.000 0.000 0.500
0.333 0.667 0.736
0.667 0.333 0.264
0.333 0.667 0.263
0.667 0.333 0.737
```

Summary:
- E_form (uncorrected) (eV/atom) = -0.632
- total moment (μB/cell) = 0.00
- D(E_F) (states/eV/cell) = 2.80
- ρ (g/cm3) = 4.9
- uncorrected energy (eV/atom) = -5.500